No. 1
# Cs2K2Rb7 (PBE, relaxed)
data_Cs2K2Rb7
_chemical_formula_sum 'Cs2 K2 Rb7'
_cell_length_a 8.810
_cell_length_b 11.197
_cell_length_c 11.197
_cell_angle_alpha 95.81
_cell_angle_beta 75.97
_cell_angle_gamma 75.97
_space_group_name_H-M_alt 'P 1'
_space_group_IT_number 1
_space_group_name_Hall 'P 1'
loop_
_atom_site_label
_atom_site_fract_x
_atom_site_fract_y
_atom_site_fract_z
Rb1 0.196 0.592 0.592
Rb2 0.831 0.409 0.927
Rb3 0.169 0.591 0.073
Cs1 0.409 0.201 0.201
K1 0.500 0.253 0.747
Rb4 0.804 0.408 0.408
Rb5 0.169 0.073 0.591
Rb6 0.831 0.927 0.409
K2 0.500 0.747 0.253
Cs2 0.591 0.799 0.799
Rb7 0.000 0.000 0.000
# Fermi-level density of states = 0.77 states/eV/atom
# V = 1024 Å³ per cell
# total DFT energy (no corrections) = -10.44 eV per formula unit

***

No. 2
# Cs5K2Rb (PBE, relaxed)
data_Cs5K2Rb
_chemical_formula_sum 'Cs10 K4 Rb2'
_cell_length_a 7.384
_cell_length_b 10.448
_cell_length_c 20.875
_cell_angle_alpha 90.00
_cell_angle_beta 90.00
_cell_angle_gamma 90.00
_space_group_name_H-M_alt 'P 1'
_space_group_IT_number 1
_space_group_name_Hall 'P 1'
loop_
_atom_site_label
_atom_site_fract_x
_atom_site_fract_y
_atom_site_fract_z
K1 0.500 0.258 0.625
Rb1 0.000 0.500 0.000
Cs1 0.500 0.263 0.879
Cs2 0.500 0.763 0.621
Cs3 0.500 0.737 0.121
K2 0.500 0.242 0.125
Cs4 0.000 0.000 0.000
Cs5 0.000 0.985 0.253
Cs6 0.500 0.237 0.379
Cs7 0.000 0.500 0.500
Cs8 0.000 0.485 0.247
K3 0.500 0.742 0.375
Cs9 0.000 0.015 0.747
K4 0.500 0.758 0.875
Rb2 0.000 0.000 0.500
Cs10 0.000 0.515 0.753
# Fermi-level density of states = 1.16 states/eV/atom
# V = 1610 Å³ per cell
# total DFT energy (no corrections) = -7.36 eV per formula unit

***

No. 3
# Cs4K3Rb (PBE, relaxed)
data_Cs4K3Rb
_chemical_formula_sum 'Cs4 K3 Rb1'
_cell_length_a 5.068
_cell_length_b 8.024
_cell_length_c 18.792
_cell_angle_alpha 90.00
_cell_angle_beta 90.00
_cell_angle_gamma 90.00
_space_group_name_H-M_alt 'P 1'
_space_group_IT_number 1
_space_group_name_Hall 'P 1'
loop_
_atom_site_label
_atom_site_fract_x
_atom_site_fract_y
_atom_site_fract_z
K1 0.500 0.000 0.931
Cs1 0.500 0.500 0.336
Cs2 0.000 0.500 0.826
Cs3 0.000 0.000 0.173
K2 0.000 0.500 0.566
Rb1 0.500 0.500 0.066
Cs4 0.500 0.000 0.667
K3 0.000 0.000 0.435
# E above lowest polymorph = 0.005 eV/atom
# Fermi-level density of states = 0.96 states/eV/atom
# V = 764 Å³ per cell

***

No. 4
# Cs6K6Rb (PBE, relaxed)
data_Cs6K6Rb
_chemical_formula_sum 'Cs6 K6 Rb1'
_cell_length_a 9.204
_cell_length_b 12.481
_cell_length_c 12.481
_cell_angle_alpha 83.67
_cell_angle_beta 68.36
_cell_angle_gamma 68.36
_space_group_name_H-M_alt 'P 1'
_space_group_IT_number 1
_space_group_name_Hall 'P 1'
loop_
_atom_site_label
_atom_site_fract_x
_atom_site_fract_y
_atom_site_fract_z
Cs1 0.660 0.340 0.340
K1 0.500 0.236 0.764
Cs2 0.000 0.342 0.658
K2 0.000 0.500 0.000
Cs3 0.340 0.660 0.660
Cs4 0.325 0.175 0.175
Rb1 0.000 0.000 0.000
K3 0.500 0.000 0.500
K4 0.500 0.500 0.000
Cs5 0.675 0.825 0.825
Cs6 0.000 0.658 0.342
K5 0.000 0.000 0.500
K6 0.500 0.764 0.236
# Fermi-level density of states = 0.89 states/eV/atom
# V = 1238 Å³ per cell
# total DFT energy (no corrections) = -12.46 eV per formula unit